(1)
{
  "formula": "Nd12SmEr3",
  "functional": "PBE",
  "state": "relaxed",
  "dos_ef_per_ev_cell": 24.391,
  "mass_density_g_cm3": 7.2,
  "magmom_total_mub_per_fu": 0.0,
  "ef_ev_per_atom": 0.014,
  "lattice_angstrom": [[5.157, 0.000, 0.000], [0.000, 5.157, 0.000], [0.000, 0.000, 20.564]],
  "species": ["Nd", "Nd", "Nd", "Nd", "Nd", "Nd", "Nd", "Nd", "Nd", "Nd", "Nd", "Nd", "Sm", "Er", "Er", "Er"],
  "fractional_positions": [[0.500, 0.500, 0.000], [0.500, 0.500, 0.251], [0.500, 0.500, 0.500], [0.500, 0.500, 0.749], [0.500, 0.000, 0.127], [0.500, 0.000, 0.376], [0.500, 0.000, 0.624], [0.500, 0.000, 0.873], [0.000, 0.500, 0.127], [0.000, 0.500, 0.376], [0.000, 0.500, 0.624], [0.000, 0.500, 0.873], [0.000, 0.000, 0.000], [0.000, 0.000, 0.251], [0.000, 0.000, 0.500], [0.000, 0.000, 0.749]]
}

---

(2)
{
  "formula": "NdSm4Er",
  "functional": "PBE",
  "state": "relaxed",
  "dos_ef_per_ev_cell": 11.980,
  "de_polymorph_ev_per_fu": 0.44,
  "mass_density_g_cm3": 7.4,
  "magmom_total_mub_per_fu": 0.0,
  "ef_ev_per_atom": 0.186,
  "lattice_angstrom": [[-3.111, -1.540, -0.025], [-0.387, -3.216, 5.213], [-5.584, 7.293, 4.514]],
  "species": ["Nd", "Sm", "Sm", "Sm", "Sm", "Er"],
  "fractional_positions": [[0.500, 0.500, 0.500], [0.655, 0.536, 0.153], [0.345, 0.464, 0.847], [0.154, 0.034, 0.658], [0.846, 0.966, 0.342], [0.000, 0.000, 0.000]]
}

---

(3)
{
  "formula": "Nd3SmEr6",
  "functional": "PBE",
  "state": "relaxed",
  "dos_ef_per_ev_cell": 28.992,
  "de_polymorph_ev_per_fu": 0.00,
  "mass_density_g_cm3": 8.1,
  "magmom_total_mub_per_fu": 0.0,
  "ef_ev_per_atom": 0.064,
  "lattice_angstrom": [[-1.977, 2.907, 0.322], [-10.714, -7.020, -2.414], [0.640, -1.143, 14.255]],
  "species": ["Nd", "Nd", "Nd", "Nd", "Nd", "Nd", "Sm", "Sm", "Er", "Er", "Er", "Er", "Er", "Er", "Er", "Er", "Er", "Er", "Er", "Er"],
  "fractional_positions": [[0.750, 0.421, 0.902], [0.250, 0.579, 0.098], [0.750, 0.628, 0.504], [0.250, 0.372, 0.496], [0.750, 0.075, 0.101], [0.250, 0.925, 0.899], [0.750, 0.041, 0.720], [0.250, 0.959, 0.280], [0.750, 0.501, 0.691], [0.250, 0.499, 0.309], [0.750, 0.806, 0.074], [0.250, 0.194, 0.926], [0.750, 0.345, 0.123], [0.250, 0.655, 0.877], [0.750, 0.729, 0.300], [0.250, 0.271, 0.700], [0.750, 0.120, 0.486], [0.250, 0.880, 0.514], [0.750, 0.779, 0.713], [0.250, 0.221, 0.287]]
}

---

(4)
{
  "formula": "Nd2SmEr5",
  "functional": "PBE",
  "state": "relaxed",
  "dos_ef_per_ev_cell": 21.720,
  "de_polymorph_ev_per_fu": 0.00,
  "mass_density_g_cm3": 8.3,
  "magmom_total_mub_per_fu": 0.0,
  "ef_ev_per_atom": 0.021,
  "lattice_angstrom": [[5.039, 0.000, 0.000], [0.000, 7.128, 0.000], [0.000, 0.000, 14.262]],
  "species": ["Nd", "Nd", "Nd", "Nd", "Sm", "Sm", "Er", "Er", "Er", "Er", "Er", "Er", "Er", "Er", "Er", "Er"],
  "fractional_positions": [[0.500, 0.252, 0.626], [0.500, 0.748, 0.374], [0.500, 0.248, 0.126], [0.500, 0.752, 0.874], [0.000, 0.000, 0.500], [0.000, 0.500, 0.000], [0.000, 0.000, 0.000], [0.000, 0.500, 0.500], [0.000, 0.502, 0.749], [0.000, 0.498, 0.251], [0.000, 0.998, 0.249], [0.000, 0.002, 0.751], [0.500, 0.251, 0.875], [0.500, 0.749, 0.125], [0.500, 0.249, 0.375], [0.500, 0.751, 0.625]]
}

---

(5)
{
  "formula": "NdSm3Er",
  "functional": "PBE",
  "state": "relaxed",
  "dos_ef_per_ev_cell": 29.750,
  "mass_density_g_cm3": 7.6,
  "magmom_total_mub_per_fu": 0.0,
  "ef_ev_per_atom": 0.060,
  "lattice_angstrom": [[6.175, 0.000, 0.000], [0.000, 8.623, -4.493], [0.000, -0.192, 12.685]],
  "species": ["Nd", "Nd", "Nd", "Nd", "Sm", "Sm", "Sm", "Sm", "Sm", "Sm", "Sm", "Sm", "Sm", "Sm", "Sm", "Sm", "Er", "Er", "Er", "Er"],
  "fractional_positions": [[0.861, 0.524, 0.328], [0.139, 0.476, 0.672], [0.361, 0.976, 0.172], [0.639, 0.024, 0.828], [0.828, 0.127, 0.121], [0.172, 0.873, 0.879], [0.328, 0.373, 0.379], [0.672, 0.627, 0.621], [0.377, 0.673, 0.276], [0.623, 0.327, 0.724], [0.877, 0.827, 0.224], [0.123, 0.173, 0.776], [0.737, 0.927, 0.525], [0.263, 0.073, 0.475], [0.237, 0.573, 0.975], [0.763, 0.427, 0.025], [0.291, 0.276, 0.070], [0.709, 0.724, 0.930], [0.791, 0.224, 0.430], [0.209, 0.776, 0.570]]
}

---

(6)
{
  "formula": "NdSm4Er7",
  "functional": "PBE",
  "state": "relaxed",
  "dos_ef_per_ev_cell": 19.962,
  "de_polymorph_ev_per_fu": 2.16,
  "mass_density_g_cm3": 8.0,
  "magmom_total_mub_per_fu": 0.0,
  "ef_ev_per_atom": 0.266,
  "lattice_angstrom": [[5.871, 0.000, 0.000], [2.936, 11.210, -0.273], [2.936, 0.200, 6.050]],
  "species": ["Nd", "Sm", "Sm", "Sm", "Sm", "Er", "Er", "Er", "Er", "Er", "Er", "Er"],
  "fractional_positions": [[0.000, 0.000, 0.000], [0.635, 0.224, 0.506], [0.365, 0.776, 0.494], [0.767, 0.673, 0.794], [0.233, 0.327, 0.206], [0.789, 0.923, 0.499], [0.211, 0.077, 0.501], [0.065, 0.679, 0.190], [0.935, 0.321, 0.810], [0.367, 0.498, 0.768], [0.500, 0.000, 0.000], [0.633, 0.502, 0.232]]
}

---

(7)
{
  "formula": "Nd7SmEr4",
  "functional": "PBE",
  "state": "relaxed",
  "dos_ef_per_ev_cell": 19.366,
  "de_polymorph_ev_per_fu": 2.42,
  "mass_density_g_cm3": 7.4,
  "magmom_total_mub_per_fu": 0.2,
  "ef_ev_per_atom": 0.207,
  "lattice_angstrom": [[6.011, 0.000, 0.000], [3.006, 9.082, 1.779], [3.006, 1.819, 7.878]],
  "species": ["Nd", "Nd", "Nd", "Nd", "Nd", "Nd", "Nd", "Sm", "Er", "Er", "Er", "Er"],
  "fractional_positions": [[0.786, 0.886, 0.542], [0.214, 0.114, 0.458], [0.087, 0.547, 0.279], [0.913, 0.453, 0.721], [0.215, 0.757, 0.813], [0.500, 0.000, 0.000], [0.785, 0.243, 0.187], [0.000, 0.000, 0.000], [0.570, 0.301, 0.559], [0.430, 0.699, 0.441], [0.669, 0.622, 0.041], [0.331, 0.378, 0.959]]
}

---

(8)
{
  "formula": "Nd2Sm2Er15",
  "functional": "PBE",
  "state": "relaxed",
  "dos_ef_per_ev_cell": 36.478,
  "mass_density_g_cm3": 8.2,
  "magmom_total_mub_per_fu": 0.0,
  "ef_ev_per_atom": 0.282,
  "lattice_angstrom": [[-4.080, -2.078, 7.372], [-5.597, -5.859, -3.106], [4.325, -7.255, 1.992]],
  "species": ["Nd", "Nd", "Sm", "Sm", "Er", "Er", "Er", "Er", "Er", "Er", "Er", "Er", "Er", "Er", "Er", "Er", "Er", "Er", "Er"],
  "fractional_positions": [[0.665, 0.665, 0.665], [0.335, 0.335, 0.335], [0.883, 0.883, 0.883], [0.117, 0.117, 0.117], [0.000, 0.500, 0.000], [0.000, 0.000, 0.500], [0.500, 0.000, 0.000], [0.302, 0.000, 0.698], [0.698, 0.302, 0.000], [0.000, 0.698, 0.302], [0.302, 0.698, 0.000], [0.000, 0.302, 0.698], [0.698, 0.000, 0.302], [0.364, 0.848, 0.364], [0.364, 0.364, 0.848], [0.848, 0.364, 0.364], [0.636, 0.152, 0.636], [0.636, 0.636, 0.152], [0.152, 0.636, 0.636]]
}